# PBE-GGA ErVC, optimized geometry
data_ErVC
_cell_length_a 3.562
_cell_length_b 3.562
_cell_length_c 4.235
_cell_angle_alpha 90.00
_cell_angle_beta 90.00
_cell_angle_gamma 120.00
_space_group_name_H-M_alt 'P 1'
_space_group_IT_number 1
_space_group_name_Hall 'P 1'
loop_
_atom_site_label
_atom_site_fract_x
_atom_site_fract_y
_atom_site_fract_z
_atom_site_occupancy
Er1 0.000 0.000 0.000 1
V1 0.333 0.667 0.500 1
C1 0.667 0.333 0.501 1
# Energy above the lowest structure with this stoichiometry   0.267 eV per atom
# DOS(E_F)   0.430 states/eV/atom
# Space-group type   P3m1, No. 156
# Magnetic moment   2.0 Bohr magnetons per cell
# DFT formation energy   0.27 eV/f.u.

---

# PBE-GGA YHo2ErAs4, optimized geometry
data_YHo2ErAs4
_cell_length_a 7.103
_cell_length_b 4.102
_cell_length_c 7.103
_cell_angle_alpha 90.00
_cell_angle_beta 109.46
_cell_angle_gamma 90.00
_space_group_name_H-M_alt 'P 1'
_space_group_IT_number 1
_space_group_name_Hall 'P 1'
loop_
_atom_site_label
_atom_site_fract_x
_atom_site_fract_y
_atom_site_fract_z
_atom_site_occupancy
Y1 0.000 0.000 0.000 1
Ho1 0.000 0.500 0.500 1
Ho2 0.500 0.000 0.500 1
Er1 0.500 0.500 0.000 1
As1 0.251 0.000 0.750 1
As2 0.252 0.500 0.251 1
As3 0.748 0.500 0.749 1
As4 0.749 0.000 0.250 1
# DOS(E_F)   0.132 states/eV/atom
# Space-group type   P2/m, No. 10
# Magnetic moment   0.0 Bohr magnetons per cell
# DFT formation energy   -12.27 eV/f.u.

---

# PBE-GGA K2RbCl, optimized geometry
data_K2RbCl
_cell_length_a 4.142
_cell_length_b 4.142
_cell_length_c 12.011
_cell_angle_alpha 90.00
_cell_angle_beta 90.00
_cell_angle_gamma 90.00
_space_group_name_H-M_alt 'P 1'
_space_group_IT_number 1
_space_group_name_Hall 'P 1'
loop_
_atom_site_label
_atom_site_fract_x
_atom_site_fract_y
_atom_site_fract_z
_atom_site_occupancy
K1 0.000 0.000 0.154 1
K2 0.000 0.000 0.846 1
Rb1 0.500 0.500 0.500 1
Cl1 0.500 0.500 0.000 1
# Energy above the lowest structure with this stoichiometry   0.069 eV per atom
# DOS(E_F)   0.559 states/eV/atom
# Space-group type   P4/mmm, No. 123
# Uncorrected formation energy   -326 kJ/mol of formula units
# Magnetic moment   0.0 Bohr magnetons per cell

---

# PBE-GGA Tb12PmY7, optimized geometry
data_Tb12PmY7
_cell_length_a 8.761
_cell_length_b 8.761
_cell_length_c 8.761
_cell_angle_alpha 86.61
_cell_angle_beta 86.61
_cell_angle_gamma 86.61
_space_group_name_H-M_alt 'P 1'
_space_group_IT_number 1
_space_group_name_Hall 'P 1'
loop_
_atom_site_label
_atom_site_fract_x
_atom_site_fract_y
_atom_site_fract_z
_atom_site_occupancy
Tb1 0.103 0.428 0.347 1
Tb2 0.230 0.353 0.757 1
Tb3 0.243 0.770 0.647 1
Tb4 0.347 0.103 0.428 1
Tb5 0.353 0.757 0.230 1
Tb6 0.428 0.347 0.103 1
Tb7 0.572 0.653 0.897 1
Tb8 0.647 0.243 0.770 1
Tb9 0.653 0.897 0.572 1
Tb10 0.757 0.230 0.353 1
Tb11 0.770 0.647 0.243 1
Tb12 0.897 0.572 0.653 1
Pm1 0.000 0.000 0.000 1
Y1 0.004 0.880 0.366 1
Y2 0.120 0.634 0.996 1
Y3 0.366 0.004 0.880 1
Y4 0.500 0.500 0.500 1
Y5 0.634 0.996 0.120 1
Y6 0.880 0.366 0.004 1
Y7 0.996 0.120 0.634 1
# Energy above the lowest structure with this stoichiometry   0.000 eV per atom
# DOS(E_F)   1.903 states/eV/atom
# Space-group type   R-3, No. 148
# Magnetic moment   0.0 Bohr magnetons per cell
# DFT formation energy   4.92 eV/f.u.

---

# PBE-GGA Sm2HoFe, optimized geometry
data_Sm2HoFe
_cell_length_a 10.867
_cell_length_b 10.867
_cell_length_c 10.867
_cell_angle_alpha 18.58
_cell_angle_beta 18.58
_cell_angle_gamma 18.58
_space_group_name_H-M_alt 'P 1'
_space_group_IT_number 1
_space_group_name_Hall 'P 1'
loop_
_atom_site_label
_atom_site_fract_x
_atom_site_fract_y
_atom_site_fract_z
_atom_site_occupancy
Sm1 0.107 0.107 0.107 1
Sm2 0.893 0.893 0.893 1
Ho1 0.000 0.000 0.000 1
Fe1 0.500 0.500 0.500 1
# DOS(E_F)   1.324 states/eV/atom
# Space-group type   R-3m, No. 166
# Magnetic moment   1.0 Bohr magnetons per cell
# DFT formation energy   1.54 eV/f.u.

---

# PBE-GGA CdIr2PtW, optimized geometry
data_CdIr2PtW
_cell_length_a 4.767
_cell_length_b 4.767
_cell_length_c 4.887
_cell_angle_alpha 90.00
_cell_angle_beta 90.00
_cell_angle_gamma 90.00
_space_group_name_H-M_alt 'P 1'
_space_group_IT_number 1
_space_group_name_Hall 'P 1'
loop_
_atom_site_label
_atom_site_fract_x
_atom_site_fract_y
_atom_site_fract_z
_atom_site_occupancy
Cd1 0.000 0.000 0.000 1
Ir1 0.000 0.500 0.500 1
Ir2 0.500 0.000 0.500 1
Pt1 0.500 0.500 0.000 1
W1 0.500 0.500 0.500 1
# DOS(E_F)   0.995 states/eV/atom
# Space-group type   P4/mmm, No. 123
# Magnetic moment   0.0 Bohr magnetons per cell
# DFT formation energy   6.23 eV/f.u.

---

# PBE-GGA MgCr, optimized geometry
data_MgCr
_cell_length_a 4.921
_cell_length_b 4.921
_cell_length_c 5.642
_cell_angle_alpha 90.00
_cell_angle_beta 90.00
_cell_angle_gamma 120.00
_space_group_name_H-M_alt 'P 1'
_space_group_IT_number 1
_space_group_name_Hall 'P 1'
loop_
_atom_site_label
_atom_site_fract_x
_atom_site_fract_y
_atom_site_fract_z
_atom_site_occupancy
Mg1 0.333 0.667 0.250 1
Mg2 0.667 0.333 0.750 1
Cr1 0.333 0.667 0.750 1
Cr2 0.667 0.333 0.250 1
# Energy above the lowest structure with this stoichiometry   1.109 eV per atom
# DOS(E_F)   0.613 states/eV/atom
# Space-group type   P6_3/mmc, No. 194
# Magnetic moment   9.5 Bohr magnetons per cell
# DFT formation energy   2.71 eV/f.u.

---

# PBE-GGA NpVH3, optimized geometry
data_NpVH3
_cell_length_a 3.617
_cell_length_b 3.617
_cell_length_c 3.617
_cell_angle_alpha 90.00
_cell_angle_beta 90.00
_cell_angle_gamma 90.00
_space_group_name_H-M_alt 'P 1'
_space_group_IT_number 1
_space_group_name_Hall 'P 1'
loop_
_atom_site_label
_atom_site_fract_x
_atom_site_fract_y
_atom_site_fract_z
_atom_site_occupancy
Np1 0.000 0.000 0.000 1
V1 0.500 0.500 0.500 1
H1 0.000 0.500 0.500 1
H2 0.500 0.000 0.500 1
H3 0.500 0.500 0.000 1
# DOS(E_F)   0.725 states/eV/atom
# Space-group type   Pm-3m, No. 221
# Total DFT energy (no corrections)   -32.40 eV/cell
# Magnetic moment   3.0 Bohr magnetons per cell